Below is a relaxed structure of LiMoP, with properties calculated at the PBE level.

```
data_LiMoP
_space_group_name_H-M_alt 'P 1'
_space_group_IT_number 1
_cell_length_a 3.273
_cell_length_b 4.571
_cell_length_c 12.318
_cell_angle_alpha 90.00
_cell_angle_beta 90.00
_cell_angle_gamma 90.00
loop_
_space_group_symop_operation_xyz
'x,y,z'
loop_
_atom_site_label
_atom_site_type_symbol
_atom_site_fract_x
_atom_site_fract_y
_atom_site_fract_z
Li1 Li 0.000 0.000 0.000
Li2 Li 0.000 0.500 0.500
Li3 Li 0.500 0.000 0.500
Li4 Li 0.500 0.500 0.000
Mo1 Mo 0.000 0.000 0.306
Mo2 Mo 0.000 0.500 0.806
Mo3 Mo 0.500 0.000 0.806
Mo4 Mo 0.500 0.500 0.306
P1 P 0.000 0.000 0.665
P2 P 0.000 0.500 0.165
P3 P 0.500 0.000 0.165
P4 P 0.500 0.500 0.665
```

E, eV/cell: -72.50
Total magnetic moment, μB per atom: 0.000
DFT formation energy, eV/atom: 0.010
Relative energy among the computed polymorphs, meV/atom: 515
Fermi-level density of states, states/eV per cell: 2.85
Calculated density, kg/m3: 4824

=====

Below is a relaxed structure of SrAcMgGa, with properties calculated at the PBE level.

```
data_SrAcMgGa
_space_group_name_H-M_alt 'P 1'
_space_group_IT_number 1
_cell_length_a 8.037
_cell_length_b 8.037
_cell_length_c 8.037
_cell_angle_alpha 90.00
_cell_angle_beta 90.00
_cell_angle_gamma 90.00
loop_
_space_group_symop_operation_xyz
'x,y,z'
loop_
_atom_site_label
_atom_site_type_symbol
_atom_site_fract_x
_atom_site_fract_y
_atom_site_fract_z
Sr1 Sr 0.000 0.000 0.000
Sr2 Sr 0.000 0.500 0.500
Sr3 Sr 0.500 0.000 0.500
Sr4 Sr 0.500 0.500 0.000
Ac1 Ac 0.000 0.000 0.500
Ac2 Ac 0.000 0.500 0.000
Ac3 Ac 0.500 0.000 0.000
Ac4 Ac 0.500 0.500 0.500
Mg1 Mg 0.250 0.250 0.250
Mg2 Mg 0.250 0.750 0.750
Mg3 Mg 0.750 0.250 0.750
Mg4 Mg 0.750 0.750 0.250
Ga1 Ga 0.250 0.250 0.750
Ga2 Ga 0.250 0.750 0.250
Ga3 Ga 0.750 0.250 0.250
Ga4 Ga 0.750 0.750 0.750
```

E, eV/cell: -45.30
Total magnetic moment, μB per atom: 0.000
DFT formation energy, eV/atom: -0.228
Fermi-level density of states, states/eV per cell: 9.76
Calculated density, kg/m3: 5228

=====

Below is a relaxed structure of MgVH3, with properties calculated at the PBE level.

```
data_MgVH3
_space_group_name_H-M_alt 'P 1'
_space_group_IT_number 1
_cell_length_a 3.616
_cell_length_b 3.616
_cell_length_c 3.616
_cell_angle_alpha 90.00
_cell_angle_beta 90.00
_cell_angle_gamma 90.00
loop_
_space_group_symop_operation_xyz
'x,y,z'
loop_
_atom_site_label
_atom_site_type_symbol
_atom_site_fract_x
_atom_site_fract_y
_atom_site_fract_z
Mg1 Mg 0.000 0.000 0.000
V1 V 0.500 0.500 0.500
H1 H 0.000 0.000 0.500
H2 H 0.000 0.500 0.000
H3 H 0.500 0.000 0.000
```

E, eV/cell: -18.45
Total magnetic moment, μB per atom: 0.728
Relative energy among the computed polymorphs, meV/atom: 518
Fermi-level density of states, states/eV per cell: 4.22
Calculated density, kg/m3: 2749